[1]
Be2RuSe (PBE, optimized geometry); DOS(E_F) = 0.227 states/eV/atom; SG = C2/m (12); formation energy without anion corrections = 0.137 eV/atom; magnetic moment = 0.0 μB per formula unit
1.0
4.191 0.001 -0.032
3.026 2.900 -0.032
-0.101 -0.041 4.486
Be Se Ru
2 1 1
Direct
0.460 0.460 0.599
0.040 0.040 0.901
0.250 0.250 0.250
0.750 0.750 0.750

[2]
Be2RuSe (PBE, optimized geometry); DOS(E_F) = 0.344 states/eV/atom; SG = P4/mmm (123); formation energy without anion corrections = 0.123 eV/atom; magnetic moment = 0.0 μB per formula unit
1.0
3.921 0.000 0.000
0.000 3.921 0.000
0.000 0.000 3.128
Be Ru Se
2 1 1
Direct
0.000 0.000 0.000
0.500 0.500 0.000
0.500 0.000 0.500
0.000 0.500 0.500

[3]
BeRu2Se (PBE, optimized geometry); distance to the lowest polymorph of the same formula = 14 meV per atom; DOS(E_F) = 0.306 states/eV/atom; SG = Fm-3m (225); formation energy without anion corrections = 0.035 eV/atom; magnetic moment = 0.0 μB per formula unit
1.0
0.000 2.946 2.946
2.946 0.000 2.946
2.946 2.946 0.000
Se Be Ru
1 1 2
Direct
0.500 0.500 0.500
0.000 0.000 0.000
0.750 0.750 0.750
0.250 0.250 0.250

[4]
BeV2RuSe (PBE, optimized geometry); DOS(E_F) = 0.971 states/eV/atom; SG = P4/mmm (123); formation energy without anion corrections = 0.966 eV/atom; magnetic moment = 0.0 μB per formula unit
1.0
4.411 0.000 0.000
0.000 4.512 0.000
0.000 0.000 4.411
Ru V Se Be
1 2 1 1
Direct
0.000 0.500 0.000
0.500 0.000 0.000
0.000 0.000 0.500
0.000 0.000 0.000
0.500 0.500 0.500

Repeat the second record exactly.
Be2RuSe (PBE, optimized geometry); DOS(E_F) = 0.344 states/eV/atom; SG = P4/mmm (123); formation energy without anion corrections = 0.123 eV/atom; magnetic moment = 0.0 μB per formula unit
1.0
3.921 0.000 0.000
0.000 3.921 0.000
0.000 0.000 3.128
Be Ru Se
2 1 1
Direct
0.000 0.000 0.000
0.500 0.500 0.000
0.500 0.000 0.500
0.000 0.500 0.500